## Ac2Ga4NiRh3 (PBE)

Data for a relaxed structure of Ac2Ga4NiRh3.

Summary:
**ρ**: 9.23 g cm⁻³
**Size of the total moment**: 0.000 Bohr magnetons per cell
**E_form**: -0.709 eV/atom

POSCAR file:
```
Ac2Ga4NiRh3
1.0
-0.714 0.735 4.256
-0.580 -4.291 0.643
10.101 -1.084 1.882
Ac Ga Ni Rh
2 4 1 3
Direct
0.500 0.000 0.258
0.000 0.500 0.742
0.500 0.500 0.000
0.000 0.500 0.382
0.000 0.000 0.000
0.500 0.000 0.618
0.500 0.500 0.500
0.000 0.000 0.500
0.000 0.500 0.130
0.500 0.000 0.870
```